First-principles (PBE) data for Sr2Zn5Cu4 after structural relaxation, as listed in the Alexandria database.

Structure (extended XYZ):
```
11
Lattice="6.307 -2.686 0.000 6.307 2.686 0.000 -4.896 0.000 6.413" Properties=species:S:1:pos:R:3 pbc="T T T"
Sr 1.400 0.000 1.829
Sr 6.319 0.000 4.584
Zn 4.567 1.342 1.549
Zn 3.151 1.342 4.864
Zn 6.307 0.000 0.000
Zn 4.567 -1.342 1.549
Zn 3.151 -1.342 4.864
Cu -1.290 0.000 3.604
Cu -1.173 0.000 6.029
Cu 8.891 0.000 0.384
Cu 9.008 0.000 2.809
```

Properties
Its density is 5.8 g cm⁻³. The formation energy is -0.113 eV per atom. Its spin magnetization is 0.00 μB/f.u. The value obtained for the total energy is -2.49 eV per atom. The density of states at the Fermi level is 0.42 states/eV per atom.